Record 1
The following is a PBE-GGA calculation of a relaxed structure of K3Th2PdSe6, from Alexandria.

a = 7.4374 Å, b = 7.4374 Å, c = 8.0326 Å
α = 98.08°, β = 98.08°, γ = 121.23°
With the nearest neighbours (Å) after each atom.
Positions (direct):
K  0.1583  0.8417  0.5000  6 Se 3.28-3.34
K  0.8417  0.1583  0.5000  6 Se 3.28-3.34
K  0.5000  0.5000  0.5000  6 Se 3.37-3.46
Th  0.3320  0.6680  0.0000  6 Se 2.89-2.96
Th  0.6680  0.3320  0.0000  6 Se 2.89-2.96
Pd  0.0000  0.0000  0.0000  2 Se 2.71
Se  0.9299  0.5803  0.7835  2 Th 2.89-2.93, 1 Pd 3.09
Se  0.7477  0.7477  0.1909  1 Pd 2.71, 2 Th 2.96
Se  0.0701  0.4197  0.2165  2 Th 2.89-2.93, 1 Pd 3.09
Se  0.5803  0.9299  0.7835  2 Th 2.89-2.93, 1 Pd 3.09
Se  0.2523  0.2523  0.8091  1 Pd 2.71, 2 Th 2.96
Se  0.4197  0.0701  0.2165  2 Th 2.89-2.93, 1 Pd 3.09

Output
As for the total energy: -5.022 eV per atom. The space-group type is No. 12. As for the calculated volume: 30.3 Å³/atom.

=====

Record 2
The following is a PBE-GGA calculation of a relaxed structure of In2Ge, from Alexandria.

a = 3.6452 Å, b = 3.6452 Å, c = 6.1341 Å
α = 107.91°, β = 107.91°, γ = 89.13°
With the nearest neighbours (Å) after each atom.
Positions (direct):
Ge  0.5000  0.5000  0.0000  8 In 3.08-3.11
In  0.1575  0.1575  0.3091  4 Ge 3.08-3.11, 5 In 3.31-3.42
In  0.8425  0.8425  0.6909  4 Ge 3.08-3.11, 5 In 3.31-3.42

Output
The value obtained for the formation energy from the elements is 0.151 eV per atom. The space-group type is No. 12. As for the calculated volume: 24.5 Å³/atom.

=====

Record 3
The following is a PBE-GGA calculation of a relaxed structure of Al2ZnCoCl, from Alexandria.

a = 5.0554 Å, b = 4.0525 Å, c = 5.0554 Å
α = 90.00°, β = 90.00°, γ = 90.00°
With the nearest neighbours (Å) after each atom.
Positions (direct):
Zn  0.5000  0.5000  0.5000  8 Al 3.24, 4 Co 3.57
Co  0.0000  0.5000  0.0000  2 Cl 2.03
Al  0.0000  0.0000  0.5000  2 Cl 2.53
Al  0.5000  0.0000  0.0000  2 Cl 2.53
Cl  0.0000  0.0000  0.0000  2 Co 2.03

Output
As for the total energy: -2.774 eV per atom. The space-group type is No. 123. As for the calculated volume: 20.7 Å³/atom.

=====

Record 4
The following is a PBE-GGA calculation of a relaxed structure of Li2AlGa9, from Alexandria.

a = 4.1529 Å, b = 4.1529 Å, c = 12.0625 Å
α = 90.00°, β = 90.00°, γ = 90.00°
With the nearest neighbours (Å) after each atom.
Positions (direct):
Li  0.0000  0.0000  0.3399  12 Ga 2.84-2.94
Li  0.0000  0.0000  0.6601  12 Ga 2.84-2.94
Al  0.0000  0.0000  0.0000  12 Ga 2.92-2.94
Ga  0.5000  0.5000  0.0000  8 Ga 2.92, 4 Al 2.94
Ga  0.5000  0.5000  0.3329  8 Ga 2.86-2.89, 4 Li 2.94
Ga  0.5000  0.5000  0.6671  8 Ga 2.86-2.89, 4 Li 2.94
Ga  0.5000  0.0000  0.1704  8 Ga 2.86-2.94, 2 Li 2.91, 2 Al 2.92
Ga  0.5000  0.0000  0.5000  4 Li 2.84, 8 Ga 2.89-2.94
Ga  0.5000  0.0000  0.8296  8 Ga 2.86-2.94, 2 Li 2.91, 2 Al 2.92
Ga  0.0000  0.5000  0.1704  8 Ga 2.86-2.94, 2 Li 2.91, 2 Al 2.92
Ga  0.0000  0.5000  0.5000  4 Li 2.84, 8 Ga 2.89-2.94
Ga  0.0000  0.5000  0.8296  8 Ga 2.86-2.94, 2 Li 2.91, 2 Al 2.92

Output
The value obtained for the formation energy from the elements is -0.102 eV per atom. The space-group type is No. 123. As for the calculated volume: 17.3 Å³/atom.

=====

Record 5
The following is a PBE-GGA calculation of a relaxed structure of Cs2LaSnCl6, from Alexandria.

a = 8.4181 Å, b = 8.4181 Å, c = 8.1861 Å
α = 59.06°, β = 59.06°, γ = 90.00°
With the nearest neighbours (Å) after each atom.
Positions (direct):
Cs  0.7500  0.2500  0.5000  12 Cl 4.10-4.21
Cs  0.2500  0.7500  0.5000  12 Cl 4.10-4.21
Cl  0.2486  0.2486  0.5028  1 La 2.79, 1 Sn 2.83
Cl  0.7514  0.7514  0.4972  1 La 2.79, 1 Sn 2.83
Cl  0.2335  0.2335  0.0000  1 La 2.78
Cl  0.7665  0.7665  0.0000  1 La 2.78
Cl  0.7665  0.2335  0.0000  1 La 2.78
Cl  0.2335  0.7665  0.0000  1 La 2.78
Sn  0.5000  0.5000  0.0000  2 Cl 2.83
La  0.0000  0.0000  0.0000  6 Cl 2.78-2.79

Output
The space-group type is No. 139. As for the calculated volume: 39.8 Å³/atom. The energy relative to the lowest polymorph listed for this composition comes out at 36 meV per atom.

=====

Record 6
The following is a PBE-GGA calculation of a relaxed structure of Ac3Si3Ag, from Alexandria.

a = 4.2674 Å, b = 4.6068 Å, c = 10.2567 Å
α = 102.98°, β = 102.01°, γ = 90.00°
With the nearest neighbours (Å) after each atom.
Positions (direct):
Ac  0.3136  0.8136  0.6271  5 Si 3.27-3.47, 2 Ag 3.32
Ac  0.6840  0.1840  0.3681  7 Si 3.26-3.44
Ac  0.0048  0.0048  0.0096  8 Si 3.36-3.64, 4 Ag 3.42
Si  0.1357  0.6357  0.2714  2 Si 2.53
Si  0.8603  0.3603  0.7206  2 Ag 2.59
Si  0.5659  0.5659  0.1318  2 Si 2.53, 1 Ag 2.54
Ag  0.4357  0.4357  0.8715  3 Si 2.54-2.59

Output
As for the total energy: -5.014 eV per atom. The space-group type is No. 44. As for the calculated volume: 27.4 Å³/atom.

=====

Record 7
The following is a PBE-GGA calculation of a relaxed structure of CaHf2Pd3, from Alexandria.

a = 3.3920 Å, b = 3.3920 Å, c = 10.4299 Å
α = 90.00°, β = 90.00°, γ = 90.00°
With the nearest neighbours (Å) after each atom.
Positions (direct):
Ca  0.5000  0.5000  0.5000  8 Pd 3.25, 4 Ca 3.39, 2 Hf 3.56
Hf  0.5000  0.5000  0.8414  8 Pd 2.76-2.91
Hf  0.5000  0.5000  0.1586  8 Pd 2.76-2.91
Pd  0.0000  0.0000  0.0000  8 Hf 2.91, 2 Pd 3.02
Pd  0.0000  0.0000  0.7105  4 Hf 2.76, 1 Pd 3.02
Pd  0.0000  0.0000  0.2895  4 Hf 2.76, 1 Pd 3.02

Output
The value obtained for the formation energy from the elements is -0.688 eV per atom. The space-group type is No. 123. As for the calculated volume: 20.0 Å³/atom.

=====

Record 8
The following is a PBE-GGA calculation of a relaxed structure of U2Co3Si5, from Alexandria.

a = 7.8238 Å, b = 7.8238 Å, c = 7.8238 Å
α = 138.33°, β = 104.33°, γ = 90.32°
With the nearest neighbours (Å) after each atom.
Positions (direct):
U  0.8681  0.6346  0.2335  10 Si 2.83-3.09, 3 Co 2.89-3.01
U  0.1319  0.3654  0.7665  10 Si 2.83-3.09, 3 Co 2.89-3.01
U  0.5989  0.8654  0.7335  10 Si 2.83-3.09, 3 Co 2.89-3.01
U  0.4011  0.1346  0.2665  10 Si 2.83-3.09, 3 Co 2.89-3.01
Co  0.0000  0.2500  0.2500  6 Si 2.32-2.53
Co  0.7536  0.1386  0.6151  5 Si 2.26-2.34
Co  0.5235  0.6386  0.8849  5 Si 2.26-2.34
Co  0.4765  0.3614  0.1151  5 Si 2.26-2.34
Co  0.0000  0.7500  0.7500  6 Si 2.32-2.53
Co  0.2464  0.8614  0.3849  5 Si 2.26-2.34
Si  0.0508  0.8976  0.1532  3 Co 2.26-2.32, 2 Si 2.46
Si  0.9492  0.1024  0.8468  3 Co 2.26-2.32, 2 Si 2.46
Si  0.2555  0.6024  0.6532  3 Co 2.26-2.32, 2 Si 2.46
Si  0.7445  0.3976  0.3468  3 Co 2.26-2.32, 2 Si 2.46
Si  0.2290  0.9790  0.7500  3 Co 2.30-2.53, 2 Si 2.46
Si  0.7710  0.5210  0.7500  3 Co 2.30-2.53, 2 Si 2.46
Si  0.7710  0.0210  0.2500  3 Co 2.30-2.53, 2 Si 2.46
Si  0.5000  0.2500  0.7500  4 Co 2.34
Si  0.5000  0.7500  0.2500  4 Co 2.34
Si  0.2290  0.4790  0.2500  3 Co 2.30-2.53, 2 Si 2.46

Output
The space-group type is No. 72. As for the calculated volume: 14.7 Å³/atom. The energy relative to the lowest polymorph listed for this composition comes out at 0 meV per atom.